No. 1
Material: Sr2MoPb
Method: DFT, PBE-GGA
State: optimized geometry

a = 5.954 Å, b = 5.954 Å, c = 5.207 Å
α = 64.08°, β = 64.08°, γ = 51.84°
Each line ends with the local moment (μB).
Element x y z (fractional)
Mo  0.750  0.750  0.750  3.09
Pb  0.250  0.250  0.250  -0.04
Sr  0.000  0.000  0.000  0.02
Sr  0.500  0.500  0.500  0.02

Calculated values
total magnetic moment: 0.964 μB/atom
energy relative to the elements: 517 meV/atom
calculated volume: 126.8 Å³/cell
E_tot: -3.96 eV/atom
crystal system: tetragonal

No. 2
Material: MgZn2Pb
Method: DFT, PBE-GGA
State: optimized geometry

a = 9.667 Å, b = 9.667 Å, c = 9.667 Å
α = 19.55°, β = 19.55°, γ = 19.55°
Element x y z (fractional)
Mg  0.250  0.250  0.250
Pb  0.750  0.750  0.750
Zn  0.991  0.991  0.991
Zn  0.509  0.509  0.509

Calculated values
total magnetic moment: 0.000 μB/atom
energy relative to the elements: 120 meV/atom
calculated volume: 88.4 Å³/cell
E_tot: -1.84 eV/atom
crystal system: trigonal